[1]
Here is a relaxed KBaNi2 crystal from Alexandria. Energies are from PBE-GGA. Values from VASP.

- Mass density: 4.4 g/cm3
- Energy relative to the lowest polymorph listed for this composition: 467.4 meV/atom
- SG: P4/mmm
- Energy of formation: 0.658 eV per atom

```
&SYSTEM
  ibrav = 0, nat = 4, ntyp = 3
/
ATOMIC_SPECIES
K 39.10 K.upf
Ba 137.33 Ba.upf
Ni 58.69 Ni.upf
CELL_PARAMETERS angstrom
-3.7713 -1.9196 3.2158
3.6530 -2.8933 2.5570
0.6091 2.9641 2.4837
ATOMIC_POSITIONS angstrom
K 2.1311 0.0354 2.5203
Ba -1.5811 0.5223 2.8498
Ni 0.0000 0.0000 0.0000
Ni -0.0592 -2.4064 2.8864
```

[2]
Here is a relaxed KBaNi4 crystal from Alexandria. Energies are from PBE-GGA. Values from VASP.

- Mass density: 6.4 g/cm3
- SG: F-43m
- Energy of formation: 0.342 eV per atom

```
&SYSTEM
  ibrav = 0, nat = 6, ntyp = 3
/
ATOMIC_SPECIES
Ni 58.69 Ni.upf
Ba 137.33 Ba.upf
K 39.10 K.upf
CELL_PARAMETERS angstrom
0.0000 3.7678 3.7678
3.7678 0.0000 3.7678
3.7678 3.7678 0.0000
ATOMIC_POSITIONS angstrom
Ni 2.8257 4.7098 4.7098
Ba 5.6516 5.6516 5.6516
Ni 4.7098 4.7098 2.8257
Ni 4.7098 2.8257 4.7098
K 0.0000 0.0000 0.0000
Ni 2.8257 2.8257 2.8257
```

[3]
Here is a relaxed KBaNi2 crystal from Alexandria. Energies are from PBE-GGA. Values from VASP.

- Mass density: 4.4 g/cm3
- Energy relative to the lowest polymorph listed for this composition: 460.4 meV/atom
- SG: Fm-3m
- Energy of formation: 0.651 eV per atom

```
&SYSTEM
  ibrav = 0, nat = 4, ntyp = 3
/
ATOMIC_SPECIES
Ni 58.69 Ni.upf
Ba 137.33 Ba.upf
K 39.10 K.upf
CELL_PARAMETERS angstrom
0.0000 3.8108 3.8108
3.8108 0.0000 3.8108
3.8108 3.8108 0.0000
ATOMIC_POSITIONS angstrom
Ni 1.9054 1.9054 1.9054
Ba 3.8108 3.8108 3.8108
Ni 5.7162 5.7162 5.7162
K 0.0000 0.0000 0.0000
```

[4]
Here is a relaxed KBaNi2 crystal from Alexandria. Energies are from PBE-GGA. Values from VASP.

- Mass density: 3.9 g/cm3
- Energy relative to the lowest polymorph listed for this composition: 331.2 meV/atom
- SG: P4/mmm
- Energy of formation: 0.522 eV per atom

```
&SYSTEM
  ibrav = 0, nat = 4, ntyp = 3
/
ATOMIC_SPECIES
Ni 58.69 Ni.upf
K 39.10 K.upf
Ba 137.33 Ba.upf
CELL_PARAMETERS angstrom
4.1433 0.0000 0.0000
0.0000 4.1433 0.0000
0.0000 0.0000 7.3808
ATOMIC_POSITIONS angstrom
Ni 0.0000 0.0000 0.6886
Ni 0.0000 0.0000 3.0018
K 2.0717 2.0717 5.5356
Ba 2.0717 2.0717 1.8452
```

[5]
Here is a relaxed KBaNi2 crystal from Alexandria. Energies are from PBE-GGA. Values from VASP.

- Mass density: 3.4 g/cm3
- Energy relative to the lowest polymorph listed for this composition: 145.7 meV/atom
- SG: C2/m
- Energy of formation: 0.337 eV per atom

```
&SYSTEM
  ibrav = 0, nat = 4, ntyp = 3
/
ATOMIC_SPECIES
Ni 58.69 Ni.upf
Ba 137.33 Ba.upf
K 39.10 K.upf
CELL_PARAMETERS angstrom
-0.4030 -5.7294 -1.5625
3.1883 -3.9999 -3.0439
4.1599 -6.0629 3.0068
ATOMIC_POSITIONS angstrom
Ni 4.3292 -9.1120 -0.1425
Ba 5.2089 -11.8441 -1.1997
K 1.7363 -3.9480 -0.3999
Ni 3.3033 -4.8470 2.3495
```

[6]
Here is a relaxed KBaNi2 crystal from Alexandria. Energies are from PBE-GGA. Values from VASP.

- Mass density: 4.3 g/cm3
- Energy relative to the lowest polymorph listed for this composition: 234.4 meV/atom
- SG: P4mm
- Energy of formation: 0.425 eV per atom

```
&SYSTEM
  ibrav = 0, nat = 4, ntyp = 3
/
ATOMIC_SPECIES
Ni 58.69 Ni.upf
K 39.10 K.upf
Ba 137.33 Ba.upf
CELL_PARAMETERS angstrom
-3.3505 0.2666 0.8221
-0.8634 -0.7002 -3.2767
-0.2341 -9.1860 2.0246
ATOMIC_POSITIONS angstrom
Ni -0.0250 -0.9814 0.2163
Ni -2.1440 -1.6721 -0.9066
K -2.3031 -7.9149 0.4693
Ba -0.0929 -3.6442 0.8032
```